1.
# AcHoIn2Au4

A relaxed AcHoIn2Au4 crystal (PBE, Alexandria via LeMat-Bulk).

Summary:
* calculated volume: 189.0 Å³ per cell
* total DFT energy (no corrections): -4.089 eV/atom
* DFT formation energy: -0.680 eV/atom
* D(E_F): 0.62 states/eV/atom

a b c (Å): 9.4498 9.4498 9.4498
angles (deg): 30.18 30.18 30.18
Positions (direct):
Ac: 0.0000 0.0000 0.0000
Ho: 0.5000 0.5000 0.5000
In: 0.2429 0.2429 0.2429
In: 0.7571 0.7571 0.7571
Au: 0.1307 0.1307 0.1307
Au: 0.3910 0.3910 0.3910
Au: 0.6090 0.6090 0.6090
Au: 0.8693 0.8693 0.8693

---

2.
# NbAgSe2Br

A relaxed NbAgSe2Br crystal (PBE, Alexandria via LeMat-Bulk).

Summary:
* calculated volume: 134.0 Å³ per cell
* total DFT energy (no corrections): -4.389 eV/atom
* raw formation energy: -37 kJ/mol of formula units
* D(E_F): 0.66 states/eV/atom

a b c (Å): 5.0533 5.0533 5.2476
angles (deg): 90.00 90.00 90.00
Positions (direct):
Nb: 0.0000 0.0000 0.0000
Ag: 0.5000 0.5000 0.5000
Se: 0.0000 0.5000 0.0000
Se: 0.5000 0.0000 0.0000
Br: 0.0000 0.0000 0.5000

---

3.
# K3Eu

A relaxed K3Eu crystal (PBE, Alexandria via LeMat-Bulk).

Summary:
* calculated volume: 261.6 Å³ per cell
* total DFT energy (no corrections): -3.218 eV/atom
* DFT formation energy: 0.174 eV/atom
* D(E_F): 3.97 states/eV/atom

a b c (Å): 6.3953 6.3953 6.3953
angles (deg): 90.00 90.00 90.00
Positions (direct):
K: 0.0000 0.0000 0.5000
K: 0.0000 0.5000 0.0000
K: 0.5000 0.0000 0.0000
Eu: 0.5000 0.5000 0.5000

---

4.
# Li2MnCdTe

A relaxed Li2MnCdTe crystal (PBE, Alexandria via LeMat-Bulk).

Summary:
* calculated volume: 153.0 Å³ per cell
* total DFT energy (no corrections): -3.120 eV/atom
* raw formation energy: 140 kJ/mol of formula units
* D(E_F): 0.79 states/eV/atom

a b c (Å): 4.9917 4.9917 6.1411
angles (deg): 90.00 90.00 90.00
Positions (direct):
Li: 0.0000 0.5000 0.0000
Li: 0.5000 0.0000 0.0000
Mn: 0.0000 0.0000 0.5000
Cd: 0.5000 0.5000 0.5000
Te: 0.5000 0.5000 0.0000